(1)
# AlAsS4 PBE relaxed
data_AlAsS4
_chemical_formula_sum 'Al1 As1 S4'
_cell_length_a 7.613
_cell_length_b 7.613
_cell_length_c 5.952
_cell_angle_alpha 112.54
_cell_angle_beta 112.54
_cell_angle_gamma 25.70
_space_group_name_H-M_alt 'P 1'
_space_group_IT_number 1
loop_
_space_group_symop_operation_xyz
'x,y,z'
loop_
_atom_site_label
_atom_site_type_symbol
_atom_site_fract_x
_atom_site_fract_y
_atom_site_fract_z
Al1 Al 0.000 0.000 0.000
As1 As 0.500 0.500 0.500
S1 S 0.104 0.104 0.774
S2 S 0.399 0.399 0.728
S3 S 0.601 0.601 0.272
S4 S 0.896 0.896 0.226
# Space group: C2/m
# Formation energy from raw total energies in kJ/mol of atoms: -32.56
# Total magnetization in μB per cell: 0.000


(2)
# AlAsSe2S PBE relaxed
data_AlAsSe2S
_chemical_formula_sum 'Al1 As1 Se2 S1'
_cell_length_a 4.763
_cell_length_b 4.763
_cell_length_c 4.998
_cell_angle_alpha 90.00
_cell_angle_beta 90.00
_cell_angle_gamma 90.00
_space_group_name_H-M_alt 'P 1'
_space_group_IT_number 1
loop_
_space_group_symop_operation_xyz
'x,y,z'
loop_
_atom_site_label
_atom_site_type_symbol
_atom_site_fract_x
_atom_site_fract_y
_atom_site_fract_z
Al1 Al 0.000 0.000 0.000
As1 As 0.000 0.000 0.500
Se1 Se 0.000 0.500 0.000
Se2 Se 0.500 0.000 0.000
S1 S 0.500 0.500 0.500
# Space group: P4/mmm
# Formation energy from raw total energies in kJ/mol of atoms: 55.17
# Total magnetization in μB per cell: 0.000


(3)
# AlAsSe2S PBE relaxed
data_AlAsSe2S
_chemical_formula_sum 'Al1 As1 Se2 S1'
_cell_length_a 4.848
_cell_length_b 4.848
_cell_length_c 4.873
_cell_angle_alpha 90.00
_cell_angle_beta 90.00
_cell_angle_gamma 90.00
_space_group_name_H-M_alt 'P 1'
_space_group_IT_number 1
loop_
_space_group_symop_operation_xyz
'x,y,z'
loop_
_atom_site_label
_atom_site_type_symbol
_atom_site_fract_x
_atom_site_fract_y
_atom_site_fract_z
Al1 Al 0.000 0.000 0.000
As1 As 0.500 0.500 0.000
Se1 Se 0.000 0.500 0.500
Se2 Se 0.500 0.000 0.500
S1 S 0.500 0.500 0.500
# Space group: P4/mmm
# Formation energy from raw total energies in kJ/mol of atoms: 56.37
# Total magnetization in μB per cell: 0.000


(4)
# SrAl2AsS6 PBE relaxed
data_SrAl2AsS6
_chemical_formula_sum 'Sr2 Al4 As2 S12'
_cell_length_a 9.120
_cell_length_b 9.120
_cell_length_c 6.717
_cell_angle_alpha 107.99
_cell_angle_beta 107.99
_cell_angle_gamma 89.48
_space_group_name_H-M_alt 'P 1'
_space_group_IT_number 1
loop_
_space_group_symop_operation_xyz
'x,y,z'
loop_
_atom_site_label
_atom_site_type_symbol
_atom_site_fract_x
_atom_site_fract_y
_atom_site_fract_z
Sr1 Sr 0.141 0.859 0.750
Sr2 Sr 0.859 0.141 0.250
Al1 Al 0.146 0.322 0.840
Al2 Al 0.322 0.146 0.340
Al3 Al 0.678 0.854 0.660
Al4 Al 0.854 0.678 0.160
As1 As 0.289 0.711 0.250
As2 As 0.711 0.289 0.750
S1 S 0.081 0.598 0.329
S2 S 0.119 0.193 0.067
S3 S 0.193 0.119 0.567
S4 S 0.313 0.535 0.942
S5 S 0.402 0.919 0.171
S6 S 0.465 0.687 0.558
S7 S 0.535 0.313 0.442
S8 S 0.598 0.081 0.829
S9 S 0.687 0.465 0.058
S10 S 0.807 0.881 0.433
S11 S 0.881 0.807 0.933
S12 S 0.919 0.402 0.671
# Space group: C2/c
# Formation energy from raw total energies in kJ/mol of atoms: -87.67
# Total magnetization in μB per cell: 0.000


(5)
# TiAlAsS2 PBE relaxed
data_TiAlAsS2
_chemical_formula_sum 'Ti1 Al1 As1 S2'
_cell_length_a 4.898
_cell_length_b 4.898
_cell_length_c 4.681
_cell_angle_alpha 90.00
_cell_angle_beta 90.00
_cell_angle_gamma 90.00
_space_group_name_H-M_alt 'P 1'
_space_group_IT_number 1
loop_
_space_group_symop_operation_xyz
'x,y,z'
loop_
_atom_site_label
_atom_site_type_symbol
_atom_site_fract_x
_atom_site_fract_y
_atom_site_fract_z
Ti1 Ti 0.000 0.000 0.000
Al1 Al 0.500 0.500 0.000
As1 As 0.500 0.500 0.500
S1 S 0.000 0.500 0.500
S2 S 0.500 0.000 0.500
# Space group: P4/mmm
# Formation energy from raw total energies in kJ/mol of atoms: 52.47
# Total magnetization in μB per cell: 2.440


(6)
# AlTl2AsS4 PBE relaxed
data_AlTl2AsS4
_chemical_formula_sum 'Al2 Tl4 As2 S8'
_cell_length_a 12.995
_cell_length_b 11.561
_cell_length_c 7.339
_cell_angle_alpha 83.69
_cell_angle_beta 62.16
_cell_angle_gamma 34.15
_space_group_name_H-M_alt 'P 1'
_space_group_IT_number 1
loop_
_space_group_symop_operation_xyz
'x,y,z'
loop_
_atom_site_label
_atom_site_type_symbol
_atom_site_fract_x
_atom_site_fract_y
_atom_site_fract_z
Al1 Al 0.125 0.125 0.125
Al2 Al 0.875 0.875 0.875
Tl1 Tl 0.055 0.055 0.695
Tl2 Tl 0.305 0.305 0.945
Tl3 Tl 0.695 0.695 0.055
Tl4 Tl 0.945 0.945 0.305
As1 As 0.375 0.375 0.375
As2 As 0.625 0.625 0.625
S1 S 0.055 0.304 0.393
S2 S 0.253 0.607 0.696
S3 S 0.304 0.055 0.747
S4 S 0.393 0.747 0.055
S5 S 0.607 0.253 0.945
S6 S 0.696 0.945 0.253
S7 S 0.747 0.393 0.304
S8 S 0.945 0.696 0.607
# Space group: Fddd
# Formation energy from raw total energies in kJ/mol of atoms: -43.66
# Total magnetization in μB per cell: 0.000